The following is a DFT calculation (PBE-GGA) of a relaxed BeV8P2 crystal.

Lattice parameters (Å, degrees): 3.2285 6.3120 7.6077 110.63 102.25 90.00
Closest atoms and distances in Å follow each position.
Fractional coordinates of all 11 atoms:
Be 0.5000 0.0000 0.0000  8 V 2.44-2.71
V 0.4110 0.5425 0.8220  2 P 2.36, 4 V 2.48-2.60
V 0.6705 0.9514 0.3410  3 P 2.40-2.41, 4 V 2.50-2.65, 1 Be 2.66
V 0.8152 0.7058 0.6305  3 P 2.41-2.48, 4 V 2.60-2.65
V 0.9621 0.2446 0.9243  2 Be 2.44, 4 V 2.48-2.50, 1 P 2.48
V 0.1848 0.2942 0.3695  3 P 2.41-2.48, 4 V 2.60-2.65
V 0.3295 0.0486 0.6590  3 P 2.40-2.41, 4 V 2.50-2.65, 1 Be 2.66
V 0.5890 0.4575 0.1780  2 P 2.36, 4 V 2.48-2.60
V 0.0379 0.7554 0.0757  2 Be 2.44, 4 V 2.48-2.50, 1 P 2.48
P 0.8065 0.3053 0.6130  9 V 2.36-2.48
P 0.1935 0.6947 0.3870  9 V 2.36-2.48

Summary:
The density of states at the Fermi level comes out at 7.257 states/eV/f.u. The calculation puts the total energy at -0.61138 Ry/atom. The space group is No. 12. Its total magnetization is 0.00 Bohr magnetons per cell.

***

The following is a DFT calculation (PBE-GGA) of a relaxed Zr2MoAu crystal.

Lattice parameters (Å, degrees): 4.7595 4.7595 4.7595 60.00 60.00 60.00
Closest atoms and distances in Å follow each position.
Fractional coordinates of all 4 atoms:
Au 0.5000 0.5000 0.5000  4 Mo 2.91, 4 Zr 2.91
Mo 0.7500 0.7500 0.7500  4 Au 2.91, 4 Zr 2.91
Zr 0.0000 0.0000 0.0000  4 Mo 2.91, 4 Zr 2.91
Zr 0.2500 0.2500 0.2500  4 Au 2.91, 4 Zr 2.91

Summary:
The density of states at the Fermi level comes out at 3.635 states/eV/f.u. The calculation puts the total energy at -0.56964 Ry/atom. As for the energy above the lowest structure with this stoichiometry: 9.06 kcal/mol of atoms. The space group is No. 216. Its total magnetization is 0.00 Bohr magnetons per cell.

***

The following is a DFT calculation (PBE-GGA) of a relaxed GaOsAu2 crystal.

Lattice parameters (Å, degrees): 3.7822 3.7822 10.2643 79.38 79.38 90.00
Closest atoms and distances in Å follow each position.
Fractional coordinates of all 8 atoms:
Os 0.0000 0.0000 0.0000  4 Ga 2.67, 4 Au 2.81
Os 0.7500 0.2500 0.5000  4 Ga 2.67, 4 Au 2.81
Au 0.6275 0.1250 0.2500  4 Au 2.66-2.69, 2 Os 2.81, 2 Ga 2.82
Au 0.1225 0.6250 0.2500  4 Au 2.66-2.69, 2 Os 2.81, 2 Ga 2.82
Au 0.3750 0.3725 0.7500  4 Au 2.66-2.69, 2 Os 2.81, 2 Ga 2.82
Au 0.8750 0.8775 0.7500  4 Au 2.66-2.69, 2 Os 2.81, 2 Ga 2.82
Ga 0.5000 0.5000 0.0000  4 Os 2.67, 4 Au 2.82
Ga 0.2500 0.7500 0.5000  4 Os 2.67, 4 Au 2.82

Summary:
The density of states at the Fermi level comes out at 2.356 states/eV/f.u. The calculation puts the total energy at -0.34356 Ry/atom. The space group is No. 122. Its total magnetization is 1.67 Bohr magnetons per cell.

***

The following is a DFT calculation (PBE-GGA) of a relaxed Ac2VMoN5 crystal.

Lattice parameters (Å, degrees): 3.4892 7.5625 10.3095 90.00 90.00 103.34
Closest atoms and distances in Å follow each position.
Fractional coordinates of all 18 atoms:
Ac 0.8682 0.7365 0.8015  7 N 2.63-2.92
Ac 0.1217 0.2434 0.6892  7 N 2.63-2.78
Ac 0.1318 0.2635 0.3015  7 N 2.63-2.92
Ac 0.8783 0.7566 0.1892  7 N 2.63-2.78
V 0.5606 0.1212 0.9543  4 N 1.76-1.92
V 0.4394 0.8788 0.4543  4 N 1.76-1.92
Mo 0.7876 0.5752 0.5154  1 N 1.84
Mo 0.2124 0.4248 0.0154  1 N 1.84
N 0.3374 0.6747 0.0075  1 Mo 1.84
N 0.6780 0.3560 0.8830  1 V 1.88
N 0.5024 0.0047 0.8058  1 V 1.76
N 0.2990 0.5979 0.6369  2 Mo 2.15
N 0.9527 0.9053 0.5304  2 V 1.92
N 0.6626 0.3253 0.5075  1 Mo 1.84
N 0.3220 0.6440 0.3830  1 V 1.88
N 0.4976 0.9953 0.3058  1 V 1.76
N 0.7010 0.4021 0.1369  2 Mo 2.15
N 0.0473 0.0947 0.0304  2 V 1.92

Summary:
The density of states at the Fermi level comes out at 1.584 states/eV/f.u. The calculation puts the total energy at -0.63899 Ry/atom. The space group is No. 36. Its total magnetization is 0.00 Bohr magnetons per cell.

***

The following is a DFT calculation (PBE-GGA) of a relaxed TaNiPt2 crystal.

Lattice parameters (Å, degrees): 6.9762 6.9762 5.6252 51.68 51.68 90.00
Closest atoms and distances in Å follow each position.
Fractional coordinates of all 8 atoms:
Ni 0.5000 0.5000 0.0000  4 Pt 2.53, 2 Ta 2.70
Ni 0.2500 0.7500 0.5000  4 Pt 2.53, 2 Ta 2.70
Pt 0.6200 0.1250 0.2500  2 Ni 2.53, 2 Ta 2.58, 2 Pt 2.70
Pt 0.1300 0.6250 0.2500  2 Ni 2.53, 2 Ta 2.58, 2 Pt 2.70
Pt 0.3750 0.3800 0.7500  2 Ni 2.53, 2 Ta 2.58, 2 Pt 2.70
Pt 0.8750 0.8700 0.7500  2 Ni 2.53, 2 Ta 2.58, 2 Pt 2.70
Ta 0.0000 0.0000 0.0000  4 Pt 2.58, 2 Ni 2.70
Ta 0.7500 0.2500 0.5000  4 Pt 2.58, 2 Ni 2.70

Summary:
The density of states at the Fermi level comes out at 5.533 states/eV/f.u. The calculation puts the total energy at -0.55156 Ry/atom. The space group is No. 122. Its total magnetization is 0.00 Bohr magnetons per cell.

***

The following is a DFT calculation (PBE-GGA) of a relaxed Cr2RhW crystal.

Lattice parameters (Å, degrees): 4.6394 4.6394 4.6686 81.42 81.42 33.32
Closest atoms and distances in Å follow each position.
Fractional coordinates of all 4 atoms:
Cr 0.0057 0.0057 0.9826  4 Rh 2.59-2.79, 5 Cr 2.62-2.66, 3 W 2.63-2.79
Cr 0.7549 0.7549 0.7549  3 Rh 2.61-2.73, 5 Cr 2.62-2.66, 4 W 2.66-2.72
Rh 0.4943 0.4943 0.5114  7 Cr 2.59-2.79, 2 Rh 2.66, 3 W 2.69-2.72
W 0.2451 0.2451 0.2510  7 Cr 2.63-2.79, 2 W 2.66, 3 Rh 2.69-2.72

Summary:
The density of states at the Fermi level comes out at 4.087 states/eV/f.u. The calculation puts the total energy at -0.71377 Ry/atom. As for the energy above the lowest structure with this stoichiometry: 3.09 kcal/mol of atoms. The space group is No. 8. Its total magnetization is 0.00 Bohr magnetons per cell.

***

The following is a DFT calculation (PBE-GGA) of a relaxed TmZnGaO4 crystal.

Lattice parameters (Å, degrees): 6.1529 6.2508 6.2508 62.18 60.52 60.52
Closest atoms and distances in Å follow each position.
Fractional coordinates of all 14 atoms:
Tm 0.0000 0.0000 0.0000  6 O 2.19-2.23
Tm 0.0000 0.5000 0.5000  6 O 2.19-2.23
Zn 0.6176 0.6324 0.1324  4 O 1.99-2.14
Zn 0.3824 0.3676 0.8676  4 O 1.99-2.14
Ga 0.5000 0.0000 0.5000  6 O 2.04-2.09
Ga 0.0000 0.0000 0.5000  6 O 2.04-2.09
O 0.7467 0.7848 0.7218  2 Ga 2.09, 1 Zn 2.14, 1 Tm 2.23
O 0.2533 0.7782 0.7152  2 Ga 2.09, 1 Zn 2.14, 1 Tm 2.23
O 0.7467 0.2218 0.2848  2 Ga 2.09, 1 Zn 2.14, 1 Tm 2.23
O 0.2533 0.2152 0.2782  2 Ga 2.09, 1 Zn 2.14, 1 Tm 2.23
O 0.2232 0.7672 0.2672  1 Zn 1.99, 1 Ga 2.04, 2 Tm 2.19
O 0.7424 0.7672 0.2672  1 Zn 1.99, 1 Ga 2.04, 2 Tm 2.19
O 0.2576 0.2328 0.7328  1 Zn 1.99, 1 Ga 2.04, 2 Tm 2.19
O 0.7768 0.2328 0.7328  1 Zn 1.99, 1 Ga 2.04, 2 Tm 2.19

Summary:
The density of states at the Fermi level comes out at 0.000 states/eV/f.u. The calculation puts the total energy at -0.46766 Ry/atom. The space group is No. 74. Its total magnetization is 0.00 Bohr magnetons per cell.

***

The following is a DFT calculation (PBE-GGA) of a relaxed LiSn2RhAu crystal.

Lattice parameters (Å, degrees): 5.1985 4.4367 5.1985 90.00 90.00 90.00
Closest atoms and distances in Å follow each position.
Fractional coordinates of all 5 atoms:
Rh 0.5000 0.5000 0.5000  8 Sn 3.42, 4 Li 3.68
Au 0.0000 0.0000 0.0000  2 Li 2.22
Sn 0.0000 0.0000 0.5000  2 Au 2.60
Sn 0.5000 0.0000 0.0000  2 Au 2.60
Li 0.0000 0.5000 0.0000  2 Au 2.22

Summary:
The density of states at the Fermi level comes out at 2.955 states/eV/f.u. The calculation puts the total energy at -0.26937 Ry/atom. The space group is No. 123. Its total magnetization is 0.00 Bohr magnetons per cell.